# Pr4HoEr2Sc, relaxed, DFT PBE
# **E_tot**: -4.91 eV/atom
# **Space-group type**: P2/m
# **Total moment**: 0.000 μB per atom
# **DFT formation energy**: -0.016 eV/atom
data_Pr4HoEr2Sc
_symmetry_space_group_name_H-M 'P 1'
_symmetry_Int_Tables_number 1
_cell_length_a 5.137
_cell_length_b 5.140
_cell_length_c 11.110
_cell_angle_alpha 62.45
_cell_angle_beta 90.00
_cell_angle_gamma 90.00
loop_
_symmetry_equiv_pos_as_xyz
'x,y,z'
loop_
_atom_site_label
_atom_site_fract_x
_atom_site_fract_y
_atom_site_fract_z
Pr1 0.500 0.746 0.256
Pr2 0.000 0.248 0.254
Er1 0.000 0.000 0.000
Sc1 0.000 0.500 0.500
Ho1 0.500 0.500 0.000
Pr3 0.500 0.254 0.744
Pr4 0.000 0.752 0.746
Er2 0.500 0.000 0.500